[1]
# ZnNiPdS2

A relaxed structure of ZnNiPdS2 (PBE, Alexandria via LeMat-Bulk).

Cell lengths 4.7126, 4.6515, 4.7126 Å; angles 90.00, 90.00, 90.00 degrees
Last column: magnetic moment on the atom in μB.
Atoms (fractional coordinates):
Zn 0.0000 0.5000 0.0000  0.02
S 0.5000 0.0000 0.0000  0.15
S 0.0000 0.0000 0.5000  0.12
Ni 0.5000 0.5000 0.5000  0.92
Pd 0.0000 0.0000 0.0000  0.02

Properties
Symmetry ... P4/mmm, No. 123
Raw formation energy ... 3.724 eV per formula unit
DFT total energy ... -3.356 eV per atom
Theoretical density ... 4.7 g/cm3
V ... 20.66 Å³/atom

---

[2]
# Ni9Sb2Pd

A relaxed structure of Ni9Sb2Pd (PBE, Alexandria via LeMat-Bulk).

Cell lengths 3.7133, 3.7133, 11.0330 Å; angles 90.00, 90.00, 90.00 degrees
Last column: magnetic moment on the atom in μB.
Atoms (fractional coordinates):
Ni 0.5000 0.5000 0.6654  0.03
Ni 0.5000 0.0000 0.8370  0.23
Ni 0.5000 0.5000 0.0000  0.54
Ni 0.5000 0.0000 0.1630  0.23
Ni 0.0000 0.5000 0.5000  -0.04
Ni 0.5000 0.5000 0.3346  0.03
Ni 0.0000 0.5000 0.1630  0.23
Ni 0.0000 0.5000 0.8370  0.23
Ni 0.5000 0.0000 0.5000  -0.04
Sb 0.0000 0.0000 0.3268  0.00
Sb 0.0000 0.0000 0.6732  0.00
Pd 0.0000 0.0000 0.0000  0.13

Properties
Symmetry ... P4/mmm, No. 123
Raw formation energy ... -0.921 eV per formula unit
DFT total energy ... -5.533 eV per atom
Theoretical density ... 9.6 g/cm3
V ... 12.68 Å³/atom

---

[3]
# Ni3SbPd

A relaxed structure of Ni3SbPd (PBE, Alexandria via LeMat-Bulk).

Cell lengths 4.5970, 4.5970, 4.5970 Å; angles 90.00, 90.00, 90.00 degrees
Last column: magnetic moment on the atom in μB.
Atoms (fractional coordinates):
Sb 0.0000 0.0000 0.0000  0.01
Ni 0.0000 0.5000 0.0000  0.25
Ni 0.5000 0.0000 0.0000  0.41
Ni 0.0000 0.0000 0.5000  0.16
Pd 0.5000 0.5000 0.5000  0.17

Properties
Symmetry ... Pm-3m, No. 221
Raw formation energy ... 4.864 eV per formula unit
DFT total energy ... -4.359 eV per atom
Theoretical density ... 6.9 g/cm3
Energy relative to the lowest polymorph listed for this composition ... 0 meV/atom
V ... 19.43 Å³/atom